# 1
## AcErTc4 (PBE-GGA)

Data for an optimized crystal structure of AcErTc4.

The space group is F-43m (No. 216) and the conventional cell measures 7.789, 7.789 and 7.789 Å, with angles of 90.00, 90.00 and 90.00 degrees. The asymmetric unit holds Ac at (0.000, 0.000, 0.000), Er at (0.250, 0.250, 0.250) and Tc at (0.125, 0.125, 0.625).

The value obtained for the formation energy is 0.13 eV per atom. The crystal system is cubic.

# 2
## AcErTc (PBE-GGA)

Data for an optimized crystal structure of AcErTc.

The space group is C2/m (No. 12) and the conventional cell measures 11.620, 3.487 and 8.571 Å, with angles of 90.00, 99.31 and 90.00 degrees. The asymmetric unit holds Ac at (0.157, 0.000, 0.151), Er at (0.080, 0.000, 0.671) and Tc at (0.166, 0.500, 0.453).

The value obtained for the formation energy is 0.18 eV per atom. The crystal system is monoclinic.

| no. | D(E_F) (states/eV per cell) |
| --- | --- |
| 1 | 42.06 |
| 2 | 14.66 |